The following is a GGA-PBE calculation of an optimized crystal structure of ZrPCl2F, from Alexandria via LeMat-Bulk.

Cell lengths 4.9295, 4.9295, 5.2349 Å; angles 90.00, 90.00, 90.00 degrees
Closest atoms and distances in Å follow each position.
Fractional coordinates of all 5 atoms:
F: 0.5000 0.5000 0.5000  4 P 3.49, 8 Cl 3.60
Zr: 0.0000 0.0000 0.0000  4 Cl 2.46, 2 P 2.62
Cl: 0.5000 0.0000 0.0000  2 Zr 2.46
P: 0.0000 0.0000 0.5000  2 Zr 2.62
Cl: 0.0000 0.5000 0.0000  2 Zr 2.46

Properties
**Energy relative to the elements, uncorrected**: -0.731 eV per atom
**Distance to the lowest polymorph of the same formula**: 0.000 eV/atom